The following is a DFT calculation (GGA-PBE) of Tb2PdO4 after structural relaxation. Values from VASP.

Computed properties:
Distance to the lowest polymorph of the same formula ... 0 meV per atom

The structure in Quantum ESPRESSO input format:
```
&SYSTEM
  ibrav = 0, nat = 28, ntyp = 3
/
ATOMIC_SPECIES
O 16.00 O.upf
Pd 106.42 Pd.upf
Tb 158.93 Tb.upf
CELL_PARAMETERS angstrom
-6.774 1.963 -3.516
-2.214 -7.562 0.044
-2.671 0.814 5.601
ATOMIC_POSITIONS crystal
O 0.248 0.071 0.079
O 0.571 0.252 0.079
O 0.429 0.748 0.079
O 0.752 0.929 0.079
O 0.071 0.248 0.421
O 0.748 0.429 0.421
O 0.252 0.571 0.421
O 0.929 0.752 0.421
O 0.752 0.071 0.579
O 0.429 0.252 0.579
O 0.571 0.748 0.579
O 0.248 0.929 0.579
O 0.929 0.248 0.921
O 0.252 0.429 0.921
O 0.748 0.571 0.921
O 0.071 0.752 0.921
Pd 0.500 0.000 0.062
Pd 0.000 0.500 0.438
Pd 0.500 0.000 0.562
Pd 0.000 0.500 0.938
Tb 0.820 0.180 0.250
Tb 0.320 0.320 0.250
Tb 0.680 0.680 0.250
Tb 0.180 0.820 0.250
Tb 0.180 0.180 0.750
Tb 0.680 0.320 0.750
Tb 0.320 0.680 0.750
Tb 0.820 0.820 0.750
```


The following is a DFT calculation (GGA-PBE) of TbPdO3 after structural relaxation. Values from VASP.

Computed properties:
Total energy ... -6.778 eV/atom

The structure in Quantum ESPRESSO input format:
```
&SYSTEM
  ibrav = 0, nat = 10, ntyp = 3
/
ATOMIC_SPECIES
O 16.00 O.upf
Pd 106.42 Pd.upf
Tb 158.93 Tb.upf
CELL_PARAMETERS angstrom
3.588 2.884 -2.701
4.854 -2.191 -0.349
1.270 -1.916 -4.817
ATOMIC_POSITIONS crystal
O 0.750 0.362 0.138
O 0.638 0.862 0.250
O 0.138 0.750 0.362
O 0.862 0.250 0.638
O 0.362 0.138 0.750
O 0.250 0.638 0.862
Pd 0.000 0.000 0.000
Pd 0.500 0.500 0.500
Tb 0.250 0.250 0.250
Tb 0.750 0.750 0.750
```


The following is a DFT calculation (GGA-PBE) of TbPdO4 after structural relaxation. Values from VASP.

Computed properties:
Total energy ... -6.413 eV/atom

The structure in Quantum ESPRESSO input format:
```
&SYSTEM
  ibrav = 0, nat = 12, ntyp = 3
/
ATOMIC_SPECIES
O 16.00 O.upf
Pd 106.42 Pd.upf
Tb 158.93 Tb.upf
CELL_PARAMETERS angstrom
-1.248 -3.162 0.159
6.070 -1.835 1.710
-3.391 2.789 5.161
ATOMIC_POSITIONS crystal
O 0.778 0.031 0.046
O 0.273 0.792 0.147
O 0.284 0.498 0.282
O 0.880 0.801 0.526
O 0.977 0.393 0.539
O 0.458 0.092 0.632
O 0.604 0.478 0.886
O 0.096 0.079 0.947
Pd 0.761 0.640 0.208
Pd 0.029 0.274 0.772
Tb 0.389 0.175 0.318
Tb 0.424 0.746 0.697
```